VASP calculation (PBE+U) on a geometry-optimized AcNbCrO6 structure.

Calculated values
- V: 14.30 Å³ per atom
- Symmetry: P-31c, No. 163
- Calculated total energy: -8.2350 eV/atom

Cell: 5.2664 5.2664 10.7175 Å, 90.00 90.00 120.00°
Fractional coordinates of all 18 atoms:
1 Ac 0.0000 0.0000 0.0000
2 Ac 0.0000 0.0000 0.5000
3 Nb 0.3333 0.6667 0.2500
4 Nb 0.6667 0.3333 0.7500
5 Cr 0.3333 0.6667 0.7500
6 Cr 0.6667 0.3333 0.2500
7 O 0.0079 0.3845 0.6462
8 O 0.0079 0.6234 0.8538
9 O 0.3766 0.3845 0.8538
10 O 0.3766 0.9921 0.6462
11 O 0.3845 0.0079 0.1462
12 O 0.3845 0.3766 0.3538
13 O 0.6155 0.6234 0.6462
14 O 0.6155 0.9921 0.8538
15 O 0.6234 0.0079 0.3538
16 O 0.6234 0.6155 0.1462
17 O 0.9921 0.3766 0.1462
18 O 0.9921 0.6155 0.3538